Entry 1:
The following is a PBE calculation of KPd2AuS after structural relaxation, from Alexandria via LeMat-Bulk.

a = 4.690 Å, b = 4.690 Å, c = 4.887 Å
α = 90.00°, β = 90.00°, γ = 90.00°
Fractional positions:
K 0.000 0.000 0.000
Pd 0.000 0.500 0.500
Pd 0.500 0.000 0.500
Au 0.500 0.500 0.000
S 0.500 0.500 0.500

Summary:
SG	P4/mmm
formation energy without anion corrections	-0.17	eV/atom
total DFT energy (no corrections)	-3.9497	eV/atom

Entry 2:
The following is a PBE calculation of Pm2Pr3Tl4 after structural relaxation, from Alexandria via LeMat-Bulk.

a = 8.857 Å, b = 8.857 Å, c = 9.858 Å
α = 90.00°, β = 90.00°, γ = 129.97°
Fractional positions:
Pm 0.106 0.894 0.940
Pm 0.394 0.606 0.440
Pm 0.606 0.394 0.560
Pm 0.894 0.106 0.060
Pr 0.000 0.000 0.500
Pr 0.032 0.468 0.750
Pr 0.468 0.032 0.250
Pr 0.500 0.500 0.000
Pr 0.532 0.968 0.750
Pr 0.968 0.532 0.250
Tl 0.194 0.806 0.526
Tl 0.235 0.265 0.750
Tl 0.265 0.235 0.250
Tl 0.306 0.694 0.026
Tl 0.694 0.306 0.974
Tl 0.735 0.765 0.750
Tl 0.765 0.735 0.250
Tl 0.806 0.194 0.474

Summary:
SG	Cmce
ΔH_f (0 K)	-0.219	eV/atom
total DFT energy (no corrections)	-3.9193	eV/atom

Entry 3:
The following is a PBE calculation of TbY2HgO after structural relaxation, from Alexandria via LeMat-Bulk.

a = 4.781 Å, b = 4.781 Å, c = 4.784 Å
α = 90.00°, β = 90.00°, γ = 90.00°
Fractional positions:
Tb 0.000 0.000 0.000
Y 0.000 0.500 0.500
Y 0.500 0.000 0.500
Hg 0.500 0.500 0.000
O 0.000 0.000 0.500

Summary:
SG	P4/mmm
formation energy without anion corrections	-1.40	eV/atom
total DFT energy (no corrections)	-5.9613	eV/atom

Entry 4:
The following is a PBE calculation of Cd8Sn2Au after structural relaxation, from Alexandria via LeMat-Bulk.

a = 8.030 Å, b = 8.030 Å, c = 4.685 Å
α = 93.58°, β = 93.58°, γ = 114.13°
Fractional positions:
Cd 0.057 0.285 0.543
Cd 0.215 0.785 0.000
Cd 0.285 0.057 0.543
Cd 0.338 0.338 0.064
Cd 0.662 0.662 0.936
Cd 0.715 0.943 0.457
Cd 0.785 0.215 0.000
Cd 0.943 0.715 0.457
Sn 0.346 0.654 0.500
Sn 0.654 0.346 0.500
Au 0.000 0.000 0.000

Summary:
SG	C2/m
ΔH_f (0 K)	0.036	eV/atom
total DFT energy (no corrections)	-1.6551	eV/atom

Entry 5:
The following is a PBE calculation of MoW2Se2S4 after structural relaxation, from Alexandria via LeMat-Bulk.

a = 3.233 Å, b = 3.233 Å, c = 21.868 Å
α = 90.00°, β = 90.00°, γ = 120.00°
Fractional positions:
Mo 0.000 0.000 0.000
W 0.667 0.333 0.333
W 0.667 0.333 0.683
Se 0.000 0.000 0.254
Se 0.000 0.000 0.411
S 0.000 0.000 0.611
S 0.000 0.000 0.754
S 0.667 0.333 0.071
S 0.667 0.333 0.929

Summary:
SG	P3m1
formation energy without anion corrections	-0.74	eV/atom
total DFT energy (no corrections)	-7.4334	eV/atom

Entry 6:
The following is a PBE calculation of DyPuNp after structural relaxation, from Alexandria via LeMat-Bulk.

a = 12.567 Å, b = 4.307 Å, c = 5.063 Å
α = 90.00°, β = 90.00°, γ = 90.00°
Fractional positions:
Dy 0.201 0.250 0.242
Dy 0.299 0.750 0.742
Dy 0.701 0.250 0.258
Dy 0.799 0.750 0.758
Pu 0.006 0.250 0.832
Pu 0.494 0.750 0.332
Pu 0.506 0.250 0.668
Pu 0.994 0.750 0.168
Np 0.060 0.750 0.632
Np 0.440 0.250 0.132
Np 0.560 0.750 0.868
Np 0.940 0.250 0.368

Summary:
SG	Pnma
ΔH_f (0 K)	0.238	eV/atom
total DFT energy (no corrections)	-10.3871	eV/atom

Entry 7:
The following is a PBE calculation of Ac2HoCuO6 after structural relaxation, from Alexandria via LeMat-Bulk.

a = 5.756 Å, b = 8.266 Å, c = 6.027 Å
α = 90.00°, β = 90.00°, γ = 90.00°
Fractional positions:
Ac 0.250 0.017 0.215
Ac 0.250 0.483 0.215
Ac 0.750 0.517 0.785
Ac 0.750 0.983 0.785
Ho 0.250 0.250 0.721
Ho 0.750 0.750 0.279
Cu 0.250 0.750 0.768
Cu 0.750 0.250 0.232
O 0.002 0.250 0.455
O 0.005 0.750 0.004
O 0.250 0.509 0.789
O 0.250 0.991 0.789
O 0.495 0.750 0.004
O 0.498 0.250 0.455
O 0.502 0.750 0.545
O 0.505 0.250 0.996
O 0.750 0.009 0.211
O 0.750 0.491 0.211
O 0.995 0.250 0.996
O 0.998 0.750 0.545

Summary:
SG	Pmmn
formation energy without anion corrections	-2.55	eV/atom
total DFT energy (no corrections)	-7.2143	eV/atom

Entry 8:
The following is a PBE calculation of LiAc2SiS6 after structural relaxation, from Alexandria via LeMat-Bulk.

a = 6.480 Å, b = 7.124 Å, c = 11.350 Å
α = 90.00°, β = 123.69°, γ = 90.00°
Fractional positions:
Li 0.000 0.000 0.000
Li 0.000 0.500 0.500
Ac 0.220 0.087 0.752
Ac 0.220 0.413 0.252
Ac 0.780 0.587 0.748
Ac 0.780 0.913 0.248
Si 0.500 0.000 0.500
Si 0.500 0.500 0.000
S 0.169 0.179 0.463
S 0.169 0.321 0.963
S 0.281 0.716 0.464
S 0.281 0.784 0.964
S 0.333 0.003 0.261
S 0.333 0.497 0.761
S 0.667 0.503 0.239
S 0.667 0.997 0.739
S 0.719 0.216 0.036
S 0.719 0.284 0.536
S 0.831 0.679 0.037
S 0.831 0.821 0.537

Summary:
SG	P2_1/c
formation energy without anion corrections	-1.38	eV/atom
total DFT energy (no corrections)	-5.4073	eV/atom

Entry 9:
The following is a PBE calculation of TbMgRhO4 after structural relaxation, from Alexandria via LeMat-Bulk.

a = 6.292 Å, b = 6.292 Å, c = 6.292 Å
α = 119.02°, β = 116.80°, γ = 93.68°
Fractional positions:
Tb 0.000 0.000 0.000
Tb 0.500 0.000 0.500
Mg 0.360 0.610 0.750
Mg 0.640 0.390 0.250
Rh 0.000 0.000 0.500
Rh 0.000 0.500 0.000
O 0.199 0.733 0.466
O 0.233 0.267 0.966
O 0.245 0.234 0.488
O 0.245 0.757 0.012
O 0.755 0.243 0.988
O 0.755 0.766 0.512
O 0.767 0.733 0.034
O 0.801 0.267 0.534

Summary:
SG	Imma
formation energy without anion corrections	-2.19	eV/atom
total DFT energy (no corrections)	-6.9662	eV/atom

Entry 10:
The following is a PBE calculation of Nd6Dy3Cd after structural relaxation, from Alexandria via LeMat-Bulk.

a = 11.185 Å, b = 5.127 Å, c = 11.423 Å
α = 90.00°, β = 91.69°, γ = 90.00°
Fractional positions:
Nd 0.046 0.250 0.394
Nd 0.141 0.750 0.186
Nd 0.153 0.250 0.690
Nd 0.239 0.250 0.995
Nd 0.347 0.750 0.799
Nd 0.450 0.250 0.602
Nd 0.550 0.750 0.398
Nd 0.653 0.250 0.201
Nd 0.761 0.750 0.005
Nd 0.847 0.750 0.310
Nd 0.859 0.250 0.814
Nd 0.954 0.750 0.606
Dy 0.248 0.750 0.492
Dy 0.348 0.250 0.293
Dy 0.450 0.750 0.099
Dy 0.550 0.250 0.901
Dy 0.652 0.750 0.707
Dy 0.752 0.250 0.508
Cd 0.051 0.750 0.896
Cd 0.949 0.250 0.104

Summary:
SG	P2_1/m
ΔH_f (0 K)	-0.021	eV/atom
total DFT energy (no corrections)	-4.3536	eV/atom

Entry 11:
The following is a PBE calculation of Ca2PbW after structural relaxation, from Alexandria via LeMat-Bulk.

a = 4.621 Å, b = 4.621 Å, c = 9.234 Å
α = 90.00°, β = 90.00°, γ = 90.00°
Fractional positions:
Ca 0.000 0.000 0.000
Ca 0.000 0.500 0.250
Ca 0.500 0.000 0.750
Ca 0.500 0.500 0.500
Pb 0.000 0.500 0.750
Pb 0.500 0.000 0.250
W 0.000 0.000 0.500
W 0.500 0.500 0.000

Summary:
SG	I-4m2
ΔH_f (0 K)	0.626	eV/atom
total DFT energy (no corrections)	-4.5406	eV/atom

Entry 12:
The following is a PBE calculation of Ba2TbSmS4 after structural relaxation, from Alexandria via LeMat-Bulk.

a = 7.201 Å, b = 4.168 Å, c = 7.540 Å
α = 90.00°, β = 108.64°, γ = 90.00°
Fractional positions:
Ba 0.000 0.000 0.000
Ba 0.500 0.500 0.000
Tb 0.000 0.500 0.500
Sm 0.500 0.000 0.500
S 0.234 0.000 0.712
S 0.258 0.500 0.286
S 0.742 0.500 0.714
S 0.766 0.000 0.288

Summary:
SG	P2/m
formation energy without anion corrections	-2.02	eV/atom
total DFT energy (no corrections)	-5.7296	eV/atom